(1)
# LiY2ZrS5, relaxed, DFT PBE
data_LiY2ZrS5
_chemical_formula_sum 'Li2 Y4 Zr2 S10'
_cell_length_a 8.2554
_cell_length_b 8.2554
_cell_length_c 11.6138
_cell_angle_alpha 90.00
_cell_angle_beta 90.00
_cell_angle_gamma 153.38
_symmetry_space_group_name_H-M 'P 1'
_symmetry_Int_Tables_number 1
_symmetry_space_group_name_Hall 'P 1'
loop_
_atom_site_label
_atom_site_fract_x
_atom_site_fract_y
_atom_site_fract_z
Li1 0.0121 0.9879 0.5000
Li2 0.9879 0.0121 0.0000
Y1 0.3694 0.6306 0.3215
Y2 0.3907 0.6093 0.7182
Y3 0.6093 0.3907 0.2182
Y4 0.6306 0.3694 0.8215
Zr1 0.3048 0.6952 0.0322
Zr2 0.6952 0.3048 0.5322
S1 0.0034 0.9966 0.8051
S2 0.1406 0.8594 0.0270
S3 0.1914 0.8086 0.3754
S4 0.2166 0.7834 0.6895
S5 0.4500 0.5500 0.0930
S6 0.5500 0.4500 0.5930
S7 0.7834 0.2166 0.1895
S8 0.8086 0.1914 0.8754
S9 0.8594 0.1406 0.5270
S10 0.9966 0.0034 0.3051
# Calculated total energy, eV per atom: -6.6290
# Space group: Cmc2_1, No. 36
# Raw formation energy, kJ/mol of atoms: -167.6

(2)
# Pm5SiPb4, relaxed, DFT PBE
data_Pm5SiPb4
_chemical_formula_sum 'Pm5 Si1 Pb4'
_cell_length_a 7.7656
_cell_length_b 7.7656
_cell_length_c 7.7656
_cell_angle_alpha 99.63
_cell_angle_beta 99.63
_cell_angle_gamma 131.72
_symmetry_space_group_name_H-M 'P 1'
_symmetry_Int_Tables_number 1
_symmetry_space_group_name_Hall 'P 1'
loop_
_atom_site_label
_atom_site_fract_x
_atom_site_fract_y
_atom_site_fract_z
Pm1 0.0000 0.0000 0.0000
Pm2 0.2245 0.4009 0.6255
Pm3 0.4009 0.7755 0.1764
Pm4 0.5991 0.2245 0.8236
Pm5 0.7755 0.5991 0.3745
Si1 0.5000 0.5000 0.0000
Pb1 0.0857 0.6901 0.7759
Pb2 0.3099 0.0857 0.3956
Pb3 0.6901 0.9143 0.6044
Pb4 0.9143 0.3099 0.2241
# Calculated total energy, eV per atom: -4.8187
# Space group: I4/m, No. 87
# Raw formation energy, kJ/mol of atoms: -40.3

(3)
# Mg4In2Pd, relaxed, DFT PBE
data_Mg4In2Pd
_chemical_formula_sum 'Mg4 In2 Pd1'
_cell_length_a 5.8211
_cell_length_b 5.8211
_cell_length_c 4.5491
_cell_angle_alpha 90.00
_cell_angle_beta 90.00
_cell_angle_gamma 95.31
_symmetry_space_group_name_H-M 'P 1'
_symmetry_Int_Tables_number 1
_symmetry_space_group_name_Hall 'P 1'
loop_
_atom_site_label
_atom_site_fract_x
_atom_site_fract_y
_atom_site_fract_z
Mg1 0.0000 0.5000 0.5000
Mg2 0.1930 0.8070 0.0000
Mg3 0.5000 0.0000 0.5000
Mg4 0.8070 0.1930 0.0000
In1 0.3060 0.3060 0.0000
In2 0.6940 0.6940 0.0000
Pd1 0.0000 0.0000 0.5000
# Polymorph energy (0 for the lowest one), eV/atom: 0.000
# Calculated total energy, eV per atom: -2.6555
# Space group: Cmmm, No. 65
# Energy of formation, meV per atom: -220.1